No. 1
Entry from the Alexandria database: a relaxed RbTaCl3 crystal (GGA-PBE).

Cell and atoms, written as CIF:
```
data_RbTaCl3
_chemical_formula_sum 'Rb1 Ta1 Cl3'
_cell_length_a 5.046
_cell_length_b 5.046
_cell_length_c 5.046
_cell_angle_alpha 90.00
_cell_angle_beta 90.00
_cell_angle_gamma 90.00
_space_group_name_H-M_alt 'P m -3 m'
_space_group_IT_number 221
_space_group_name_Hall '-P 4 2 3'
loop_
_atom_site_label
_atom_site_type_symbol
_atom_site_fract_x
_atom_site_fract_y
_atom_site_fract_z
Rb1 Rb 0.000 0.000 0.000
Ta1 Ta 0.500 0.500 0.500
Cl1 Cl 0.000 0.500 0.500
```

Calculated values
final energy = -22.883 eV/cell

---

No. 2
Entry from the Alexandria database: a relaxed RbTaCl6 crystal (GGA-PBE).

Cell and atoms, written as CIF:
```
data_RbTaCl6
_chemical_formula_sum 'Rb2 Ta2 Cl12'
_cell_length_a 8.283
_cell_length_b 9.982
_cell_length_c 6.523
_cell_angle_alpha 90.00
_cell_angle_beta 107.87
_cell_angle_gamma 90.00
_space_group_name_H-M_alt 'C 1 2/m 1'
_space_group_IT_number 12
loop_
_space_group_symop_operation_xyz
'x,y,z'
'-x,-y,-z'
'-x,y,-z'
'x,-y,z'
'x+1/2,y+1/2,z'
'-x+1/2,-y+1/2,-z'
'-x+1/2,y+1/2,-z'
'x+1/2,-y+1/2,z'
loop_
_atom_site_label
_atom_site_type_symbol
_atom_site_fract_x
_atom_site_fract_y
_atom_site_fract_z
Rb1 Rb 0.000 0.000 0.000
Ta1 Ta 0.000 0.500 0.500
Cl1 Cl 0.099 0.333 0.767
Cl2 Cl 0.232 0.000 0.561
```

Calculated values
energy above the lowest structure with this stoichiometry = 0.44 kJ/mol of atoms
final energy = -72.536 eV/cell

---

No. 3
Entry from the Alexandria database: a relaxed Rb2TaCl7 crystal (GGA-PBE).

Cell and atoms, written as CIF:
```
data_Rb2TaCl7
_chemical_formula_sum 'Rb8 Ta4 Cl28'
_cell_length_a 17.427
_cell_length_b 8.072
_cell_length_c 12.095
_cell_angle_alpha 90.00
_cell_angle_beta 130.21
_cell_angle_gamma 90.00
_space_group_name_H-M_alt 'C 1 2/c 1'
_space_group_IT_number 15
loop_
_space_group_symop_operation_xyz
'x,y,z'
'-x,-y,-z'
'-x,y,-z+1/2'
'x,-y,z+1/2'
'x+1/2,y+1/2,z'
'-x+1/2,-y+1/2,-z'
'-x+1/2,y+1/2,-z+1/2'
'x+1/2,-y+1/2,z+1/2'
loop_
_atom_site_label
_atom_site_type_symbol
_atom_site_fract_x
_atom_site_fract_y
_atom_site_fract_z
Rb1 Rb 0.133 0.154 0.043
Ta1 Ta 0.000 0.298 0.250
Cl1 Cl 0.000 0.395 0.750
Cl2 Cl 0.089 0.038 0.258
Cl3 Cl 0.093 0.289 0.502
Cl4 Cl 0.153 0.389 0.292
```

Calculated values
final energy = -168.077 eV/cell

---

No. 4
Entry from the Alexandria database: a relaxed RbTa3Cl crystal (GGA-PBE).

Cell and atoms, written as CIF:
```
data_RbTa3Cl
_chemical_formula_sum 'Rb1 Ta3 Cl1'
_cell_length_a 4.779
_cell_length_b 4.779
_cell_length_c 4.779
_cell_angle_alpha 90.00
_cell_angle_beta 90.00
_cell_angle_gamma 90.00
_space_group_name_H-M_alt 'P m -3 m'
_space_group_IT_number 221
_space_group_name_Hall '-P 4 2 3'
loop_
_atom_site_label
_atom_site_type_symbol
_atom_site_fract_x
_atom_site_fract_y
_atom_site_fract_z
Rb1 Rb 0.000 0.000 0.000
Ta1 Ta 0.000 0.500 0.500
Cl1 Cl 0.500 0.500 0.500
```

Calculated values
energy above the lowest structure with this stoichiometry = 0.00 kJ/mol of atoms
final energy = -30.111 eV/cell

---

No. 5
Entry from the Alexandria database: a relaxed RbTaCl3 crystal (GGA-PBE).

Cell and atoms, written as CIF:
```
data_RbTaCl3
_chemical_formula_sum 'Rb1 Ta1 Cl3'
_cell_length_a 5.770
_cell_length_b 5.770
_cell_length_c 5.770
_cell_angle_alpha 90.00
_cell_angle_beta 90.00
_cell_angle_gamma 90.00
_space_group_name_H-M_alt 'P m -3 m'
_space_group_IT_number 221
_space_group_name_Hall '-P 4 2 3'
loop_
_atom_site_label
_atom_site_type_symbol
_atom_site_fract_x
_atom_site_fract_y
_atom_site_fract_z
Rb1 Rb 0.000 0.000 0.000
Ta1 Ta 0.500 0.500 0.500
Cl1 Cl 0.000 0.000 0.500
```

Calculated values
final energy = -14.884 eV/cell

---

No. 6
Entry from the Alexandria database: a relaxed Rb2TaTcCl6 crystal (GGA-PBE).

Cell and atoms, written as CIF:
```
data_Rb2TaTcCl6
_chemical_formula_sum 'Rb4 Ta2 Tc2 Cl12'
_cell_length_a 7.387
_cell_length_b 7.387
_cell_length_c 9.094
_cell_angle_alpha 90.00
_cell_angle_beta 90.00
_cell_angle_gamma 90.00
_space_group_name_H-M_alt 'I 4/m m m'
_space_group_IT_number 139
_space_group_name_Hall '-I 4 2'
loop_
_atom_site_label
_atom_site_type_symbol
_atom_site_fract_x
_atom_site_fract_y
_atom_site_fract_z
Rb1 Rb 0.000 0.500 0.250
Ta1 Ta 0.000 0.000 0.000
Tc1 Tc 0.000 0.000 0.500
Cl1 Cl 0.000 0.000 0.252
Cl2 Cl 0.245 0.245 0.000
```

Calculated values
final energy = -87.888 eV/cell

---

No. 7
Entry from the Alexandria database: a relaxed RbTaTlCl6 crystal (GGA-PBE).

Cell and atoms, written as CIF:
```
data_RbTaTlCl6
_chemical_formula_sum 'Rb2 Ta2 Tl2 Cl12'
_cell_length_a 7.6714
_cell_length_b 7.6714
_cell_length_c 12.5853
_cell_angle_alpha 90.00
_cell_angle_beta 90.00
_cell_angle_gamma 120.00
_space_group_name_H-M_alt 'P -3 1 c'
_space_group_IT_number 163
_space_group_name_Hall '-P 3 2c'
loop_
_atom_site_label
_atom_site_type_symbol
_atom_site_fract_x
_atom_site_fract_y
_atom_site_fract_z
Rb1 Rb 0.0000 0.0000 0.0000
Ta1 Ta 0.3333 0.6667 0.2500
Tl1 Tl 0.3333 0.6667 0.7500
Cl1 Cl 0.0741 0.4089 0.1388
```

Calculated values
final energy = -77.390 eV/cell

---

No. 8
Entry from the Alexandria database: a relaxed Rb2TaTlCl6 crystal (GGA-PBE).

Cell and atoms, written as CIF:
```
data_Rb2TaTlCl6
_chemical_formula_sum 'Rb8 Ta4 Tl4 Cl24'
_cell_length_a 11.065
_cell_length_b 11.065
_cell_length_c 11.065
_cell_angle_alpha 90.00
_cell_angle_beta 90.00
_cell_angle_gamma 90.00
_space_group_name_H-M_alt 'F m -3 m'
_space_group_IT_number 225
_space_group_name_Hall '-F 4 2 3'
loop_
_atom_site_label
_atom_site_type_symbol
_atom_site_fract_x
_atom_site_fract_y
_atom_site_fract_z
Rb1 Rb 0.250 0.250 0.250
Ta1 Ta 0.000 0.000 0.000
Tl1 Tl 0.000 0.000 0.500
Cl1 Cl 0.000 0.000 0.224
```

Calculated values
final energy = -163.746 eV/cell

---

No. 9
Entry from the Alexandria database: a relaxed RbTaTl2Cl8 crystal (GGA-PBE).

Cell and atoms, written as CIF:
```
data_RbTaTl2Cl8
_chemical_formula_sum 'Rb1 Ta1 Tl2 Cl8'
_cell_length_a 6.222
_cell_length_b 8.053
_cell_length_c 9.448
_cell_angle_alpha 90.05
_cell_angle_beta 90.07
_cell_angle_gamma 110.68
_space_group_name_H-M_alt 'P -1'
_space_group_IT_number 2
loop_
_space_group_symop_operation_xyz
'x,y,z'
'-x,-y,-z'
loop_
_atom_site_label
_atom_site_type_symbol
_atom_site_fract_x
_atom_site_fract_y
_atom_site_fract_z
Rb1 Rb 0.000 0.000 0.000
Ta1 Ta 0.000 0.000 0.500
Tl1 Tl 0.499 0.500 0.769
Cl1 Cl 0.059 0.811 0.321
Cl2 Cl 0.060 0.811 0.678
Cl3 Cl 0.394 0.172 0.500
Cl4 Cl 0.464 0.728 0.000
```

Calculated values
final energy = -48.374 eV/cell

---

No. 10
Entry from the Alexandria database: a relaxed Rb2TbCl5 crystal (GGA-PBE).

Cell and atoms, written as CIF:
```
data_Rb2TbCl5
_chemical_formula_sum 'Rb4 Tb2 Cl10'
_cell_length_a 12.355
_cell_length_b 8.067
_cell_length_c 8.065
_cell_angle_alpha 90.00
_cell_angle_beta 130.52
_cell_angle_gamma 90.00
_space_group_name_H-M_alt 'C 1 m 1'
_space_group_IT_number 8
loop_
_space_group_symop_operation_xyz
'x,y,z'
'x,-y,z'
'x+1/2,y+1/2,z'
'x+1/2,-y+1/2,z'
loop_
_atom_site_label
_atom_site_type_symbol
_atom_site_fract_x
_atom_site_fract_y
_atom_site_fract_z
Rb1 Rb 0.000 0.000 0.000
Rb2 Rb 0.000 0.500 0.498
Tb1 Tb 0.266 0.000 0.765
Cl1 Cl 0.029 0.500 0.032
Cl2 Cl 0.211 0.226 0.935
Cl3 Cl 0.214 0.225 0.487
```

Calculated values
energy above the lowest structure with this stoichiometry = 8.47 kJ/mol of atoms
final energy = -64.898 eV/cell

---

No. 11
Entry from the Alexandria database: a relaxed RbTbCl4 crystal (GGA-PBE).

Cell and atoms, written as CIF:
```
data_RbTbCl4
_chemical_formula_sum 'Rb2 Tb2 Cl8'
_cell_length_a 6.784
_cell_length_b 7.441
_cell_length_c 9.006
_cell_angle_alpha 104.99
_cell_angle_beta 112.06
_cell_angle_gamma 90.01
_space_group_name_H-M_alt 'P -1'
_space_group_IT_number 2
loop_
_space_group_symop_operation_xyz
'x,y,z'
'-x,-y,-z'
loop_
_atom_site_label
_atom_site_type_symbol
_atom_site_fract_x
_atom_site_fract_y
_atom_site_fract_z
Rb1 Rb 0.228 0.250 0.001
Tb1 Tb 0.000 0.500 0.500
Tb2 Tb 0.500 0.000 0.500
Cl1 Cl 0.131 0.162 0.398
Cl2 Cl 0.268 0.662 0.398
Cl3 Cl 0.274 0.555 0.805
Cl4 Cl 0.470 0.945 0.195
```

Calculated values
energy above the lowest structure with this stoichiometry = 2.35 kJ/mol of atoms
final energy = -52.098 eV/cell

---

No. 12
Entry from the Alexandria database: a relaxed RbTbCl4 crystal (GGA-PBE).

Cell and atoms, written as CIF:
```
data_RbTbCl4
_chemical_formula_sum 'Rb4 Tb4 Cl16'
_cell_length_a 5.368
_cell_length_b 20.506
_cell_length_c 7.610
_cell_angle_alpha 90.00
_cell_angle_beta 90.00
_cell_angle_gamma 90.00
_space_group_name_H-M_alt 'C m c 21'
_space_group_IT_number 36
loop_
_space_group_symop_operation_xyz
'x,y,z'
'-x,-y,z+1/2'
'-x,y,z'
'x,-y,z+1/2'
'x+1/2,y+1/2,z'
'-x+1/2,-y+1/2,z+1/2'
'-x+1/2,y+1/2,z'
'x+1/2,-y+1/2,z+1/2'
loop_
_atom_site_label
_atom_site_type_symbol
_atom_site_fract_x
_atom_site_fract_y
_atom_site_fract_z
Rb1 Rb 0.000 0.171 0.000
Tb1 Tb 0.000 0.413 0.052
Cl1 Cl 0.000 0.081 0.573
Cl2 Cl 0.000 0.306 0.241
Cl3 Cl 0.000 0.344 0.769
Cl4 Cl 0.000 0.473 0.377
```

Calculated values
energy above the lowest structure with this stoichiometry = 0.00 kJ/mol of atoms
final energy = -104.780 eV/cell

---

The following E_form (uncorrected) values (in eV per atom) correspond, in order, to the records above: -0.905, -1.546, -1.531, 1.652, 0.695, -0.871, -1.381, -1.370, -1.337, -2.081, -2.177, -2.202.